This record from Alexandria describes HfPt2Pb after structural relaxation. The functional is PBE.

The raw total energy is -6.762 eV per atom. Its total magnetic moment is 0.0000 μB per atom. Its formation enthalpy at 0 K is -326 meV per atom.

The structure belongs to space group I-42d (No. 122); the cell edges are 7.5944, 7.5944 and 5.8611 Å and the angles 90.00°, 90.00° and 90.00°. The distinct sites, in fractional coordinates, are Hf at (0.0000, 0.0000, 0.0000), Pt at (0.2283, 0.7500, 0.1250) and Pb at (0.0000, 0.0000, 0.5000).